EuRh2 PBEsol relaxed; spin magnetization = 6.3 μB/f.u.; E_form = -0.46 eV/atom; theoretical density = 11.236 g cm⁻³
1.0
0.000 3.753 3.753
3.753 0.000 3.753
3.753 3.753 0.000
Eu Rh
2 4
Cartesian
0.938 0.938 0.938
6.568 6.568 6.568
3.753 1.877 1.877
1.877 3.753 1.877
1.877 1.877 3.753
3.753 3.753 3.753